--- 1 ---
## CsRb2NiCl6 (GGA-PBE)

Data for crystalline CsRb2NiCl6 at its relaxed geometry.

a = 7.7784 Å, b = 7.7784 Å, c = 7.7843 Å
α = 60.02°, β = 60.02°, γ = 90.00°
Last column: magnetic moment on the atom in μB.
Element x y z (fractional)
1 Rb 0.2500 0.7500 0.5000  0.00
2 Rb 0.7500 0.2500 0.5000  0.00
3 Cl 0.7105 0.7105 0.5790  0.04
4 Cl 0.2895 0.2895 0.4210  0.04
5 Cs 0.0000 0.0000 0.0000  0.01
6 Cl 0.7101 0.2899 0.0000  0.03
7 Cl 0.2899 0.2899 0.0000  0.03
8 Cl 0.7101 0.7101 0.0000  0.03
9 Ni 0.5000 0.5000 0.0000  0.71
10 Cl 0.2899 0.7101 0.0000  0.03

---

--- 2 ---
## CsRb2NiCl6 (GGA-PBE)

Data for crystalline CsRb2NiCl6 at its relaxed geometry.

a = 7.2162 Å, b = 9.0639 Å, c = 10.6852 Å
α = 90.00°, β = 90.00°, γ = 90.00°
Last column: magnetic moment on the atom in μB.
Element x y z (fractional)
1 Ni 0.0000 0.8219 0.0000  0.71
2 Cl 0.2645 0.3585 0.5000  0.05
3 Cl 0.7731 0.0159 0.0000  0.05
4 Cs 0.0000 0.6648 0.5000  0.01
5 Cl 0.2355 0.6415 0.0000  0.05
6 Cl 0.7269 0.9841 0.5000  0.05
7 Cl 0.7645 0.6415 0.0000  0.05
8 Cl 0.5000 0.1818 0.7102  0.00
9 Cl 0.0000 0.8182 0.7898  0.00
10 Cl 0.2731 0.9841 0.5000  0.05
11 Cl 0.5000 0.1818 0.2898  0.00
12 Ni 0.5000 0.1781 0.5000  0.71
13 Cl 0.0000 0.8182 0.2102  0.00
14 Rb 0.5000 0.8352 0.7916  0.00
15 Cl 0.2269 0.0159 0.0000  0.05
16 Rb 0.0000 0.1648 0.7084  0.00
17 Cl 0.7355 0.3585 0.5000  0.05
18 Rb 0.0000 0.1648 0.2916  0.00
19 Cs 0.5000 0.3352 0.0000  0.01
20 Rb 0.5000 0.8352 0.2084  0.00

---

Calculated relative energies: 1 3.2; 2 0.0, given in kJ/mol of atoms

---

--- 1 ---
## CsNpCl4 (GGA-PBE)

Data for crystalline CsNpCl4 at its relaxed geometry.

a = 8.4383 Å, b = 8.5311 Å, c = 8.5311 Å
α = 102.19°, β = 106.79°, γ = 106.79°
Last column: magnetic moment on the atom in μB.
Element x y z (fractional)
1 Cl 0.0901 0.6897 0.7507  -0.02
2 Cl 0.5901 0.7507 0.6897  -0.02
3 Cs 0.2500 0.3731 0.6269  0.00
4 Cl 0.9787 0.8721 0.1429  -0.03
5 Cl 0.4787 0.1429 0.8721  -0.03
6 Cl 0.4099 0.2493 0.3103  -0.02
7 Cs 0.7500 0.6269 0.3731  0.00
8 Np 0.2500 0.9827 0.0173  3.96
9 Np 0.7500 0.0173 0.9827  3.96
10 Cl 0.5213 0.8571 0.1279  -0.03
11 Cl 0.9099 0.3103 0.2493  -0.02
12 Cl 0.0213 0.1279 0.8571  -0.03

---

--- 2 ---
## CsNpCl4 (GGA-PBE)

Data for crystalline CsNpCl4 at its relaxed geometry.

a = 8.6045 Å, b = 7.1444 Å, c = 9.2948 Å
α = 108.32°, β = 113.87°, γ = 98.71°
Last column: magnetic moment on the atom in μB.
Element x y z (fractional)
1 Cs 0.6476 0.3976 0.7952  0.00
2 Cs 0.3524 0.6024 0.2048  0.00
3 Np 0.0780 0.8280 0.6560  3.96
4 Np 0.9220 0.1720 0.3440  3.96
5 Cl 0.8452 0.0539 0.5795  -0.03
6 Cl 0.1548 0.9461 0.4205  -0.03
7 Cl 0.9558 0.2659 0.1022  -0.02
8 Cl 0.3535 0.1637 0.8978  -0.02
9 Cl 0.2342 0.5256 0.5795  -0.03
10 Cl 0.6465 0.8363 0.1022  -0.02
11 Cl 0.0442 0.7341 0.8978  -0.02
12 Cl 0.7658 0.4744 0.4205  -0.03

---

Calculated relative energies: 1 0.8; 2 0.0, given in kJ/mol of atoms

---

--- 1 ---
## Cs2NpCl7 (GGA-PBE)

Data for crystalline Cs2NpCl7 at its relaxed geometry.

a = 8.5260 Å, b = 10.1575 Å, c = 10.3520 Å
α = 84.16°, β = 65.68°, γ = 65.19°
Last column: magnetic moment on the atom in μB.
Element x y z (fractional)
1 Cs 0.5677 0.9421 0.7315  0.00
2 Np 0.0474 0.7500 0.2500  2.44
3 Cl 0.7699 0.1897 0.0056  -0.06
4 Cl 0.3026 0.2433 0.5839  -0.04
5 Cl 0.8702 0.7433 0.0839  -0.04
6 Cl 0.2191 0.4799 0.1785  -0.07
7 Np 0.9526 0.2500 0.7500  2.44
8 Cl 0.7809 0.5201 0.8215  -0.07
9 Cl 0.6439 0.2500 0.7500  -0.05
10 Cs 0.2414 0.5579 0.7685  0.00
11 Cl 0.6974 0.7567 0.4161  -0.04
12 Cl 0.9653 0.3103 0.4944  -0.06
13 Cl 0.2301 0.8103 0.9944  -0.06
14 Cl 0.1225 0.9799 0.6785  -0.07
15 Cl 0.8775 0.0201 0.3215  -0.07
16 Cl 0.3561 0.7500 0.2500  -0.05
17 Cs 0.7586 0.4421 0.2315  0.00
18 Cl 0.0347 0.6897 0.5056  -0.06
19 Cs 0.4323 0.0579 0.2685  0.00
20 Cl 0.1298 0.2567 0.9161  -0.04

---

--- 2 ---
## Cs2NpCl7 (GGA-PBE)

Data for crystalline Cs2NpCl7 at its relaxed geometry.

a = 8.1769 Å, b = 8.1769 Å, c = 8.1769 Å
α = 60.00°, β = 60.00°, γ = 60.00°
Last column: magnetic moment on the atom in μB.
Element x y z (fractional)
1 Cl 0.7794 0.7794 0.2206  -0.06
2 Cl 0.2206 0.7794 0.2206  -0.06
3 Cs 0.7500 0.7500 0.7500  0.00
4 Cl 0.2206 0.7794 0.7794  -0.06
5 Np 0.0000 0.0000 0.0000  2.66
6 Cs 0.2500 0.2500 0.2500  0.00
7 Cl 0.2206 0.2206 0.7794  -0.06
8 Cl 0.7794 0.2206 0.7794  -0.06
9 Cl 0.7794 0.2206 0.2206  -0.06
10 Cl 0.5000 0.5000 0.5000  -0.28

---

Calculated relative energies: 1 0.0; 2 6.5, given in kJ/mol of atoms